# 1
# PBE AcZrPbO6, relaxed
# Raw formation energy, eV per atom: -2.18
# Symmetry: P4_2nm (102)
# D(E_F), states/eV per cell: 11.1
data_AcZrPbO6
_chemical_formula_sum 'Ac2 Zr2 Pb2 O12'
_symmetry_space_group_name_H-M 'P 1'
_symmetry_Int_Tables_number 1
_symmetry_space_group_name_Hall 'P 1'
_cell_length_a 5.1717
_cell_length_b 5.1717
_cell_length_c 10.7872
_cell_angle_alpha 90.00
_cell_angle_beta 90.00
_cell_angle_gamma 90.00
loop_
_atom_site_label
_atom_site_fract_x
_atom_site_fract_y
_atom_site_fract_z
Ac1 0.0000 0.0000 0.0000
Ac2 0.5000 0.5000 0.5000
Zr1 0.0000 0.0000 0.6712
Zr2 0.5000 0.5000 0.1712
Pb1 0.0000 0.0000 0.3267
Pb2 0.5000 0.5000 0.8267
O1 0.1680 0.1680 0.5012
O2 0.1995 0.1995 0.8084
O3 0.2106 0.2106 0.1815
O4 0.2894 0.7106 0.6815
O5 0.3005 0.6995 0.3084
O6 0.3320 0.6680 0.0012
O7 0.6680 0.3320 0.0012
O8 0.6995 0.3005 0.3084
O9 0.7106 0.2894 0.6815
O10 0.7894 0.7894 0.1815
O11 0.8005 0.8005 0.8084
O12 0.8320 0.8320 0.5012

# 2
# PBE AcZr2PbO8, relaxed
# Raw formation energy, eV per atom: -2.43
# Symmetry: Cmmm (65)
# D(E_F), states/eV per cell: 6.3
data_AcZr2PbO8
_chemical_formula_sum 'Ac1 Zr2 Pb1 O8'
_symmetry_space_group_name_H-M 'P 1'
_symmetry_Int_Tables_number 1
_symmetry_space_group_name_Hall 'P 1'
_cell_length_a 5.1166
_cell_length_b 5.1166
_cell_length_c 7.0284
_cell_angle_alpha 90.00
_cell_angle_beta 90.00
_cell_angle_gamma 91.09
loop_
_atom_site_label
_atom_site_fract_x
_atom_site_fract_y
_atom_site_fract_z
Ac1 0.0000 0.0000 0.0000
Zr1 0.5000 0.5000 0.2652
Zr2 0.5000 0.5000 0.7348
Pb1 0.0000 0.0000 0.5000
O1 0.2092 0.2092 0.2768
O2 0.2092 0.2092 0.7232
O3 0.3138 0.6862 0.5000
O4 0.3352 0.6648 0.0000
O5 0.6648 0.3352 0.0000
O6 0.6862 0.3138 0.5000
O7 0.7908 0.7908 0.2768
O8 0.7908 0.7908 0.7232

# 3
# PBE AcPdO6, relaxed
# Raw formation energy, eV per atom: -0.68
# Symmetry: R-3m (166)
# D(E_F), states/eV per cell: 4.6
data_AcPdO6
_chemical_formula_sum 'Ac1 Pd1 O6'
_symmetry_space_group_name_H-M 'P 1'
_symmetry_Int_Tables_number 1
_symmetry_space_group_name_Hall 'P 1'
_cell_length_a 4.7927
_cell_length_b 4.7927
_cell_length_c 4.7927
_cell_angle_alpha 97.06
_cell_angle_beta 97.06
_cell_angle_gamma 97.06
loop_
_atom_site_label
_atom_site_fract_x
_atom_site_fract_y
_atom_site_fract_z
Ac1 0.0000 0.0000 0.0000
Pd1 0.5000 0.5000 0.5000
O1 0.2053 0.2053 0.5708
O2 0.2053 0.5708 0.2053
O3 0.4292 0.7947 0.7947
O4 0.5708 0.2053 0.2053
O5 0.7947 0.4292 0.7947
O6 0.7947 0.7947 0.4292

# 4
# PBE Ac5Pd2O12, relaxed
# Raw formation energy, eV per atom: -2.38
# Symmetry: C2/m (12)
# D(E_F), states/eV per cell: 13.9
data_Ac5Pd2O12
_chemical_formula_sum 'Ac5 Pd2 O12'
_symmetry_space_group_name_H-M 'P 1'
_symmetry_Int_Tables_number 1
_symmetry_space_group_name_Hall 'P 1'
_cell_length_a 7.4021
_cell_length_b 7.4021
_cell_length_c 7.9919
_cell_angle_alpha 105.42
_cell_angle_beta 105.42
_cell_angle_gamma 50.35
loop_
_atom_site_label
_atom_site_fract_x
_atom_site_fract_y
_atom_site_fract_z
Ac1 0.0000 0.0000 0.0000
Ac2 0.3055 0.3055 0.6613
Ac3 0.3097 0.3097 0.1458
Ac4 0.6903 0.6903 0.8542
Ac5 0.6945 0.6945 0.3387
Pd1 0.2452 0.7548 0.5000
Pd2 0.7548 0.2452 0.5000
O1 0.0000 0.0000 0.3347
O2 0.0000 0.0000 0.6653
O3 0.0938 0.5984 0.9216
O4 0.1018 0.5815 0.4219
O5 0.4016 0.9062 0.0784
O6 0.4185 0.8982 0.5781
O7 0.4986 0.4986 0.6649
O8 0.5014 0.5014 0.3351
O9 0.5815 0.1018 0.4219
O10 0.5984 0.0938 0.9216
O11 0.8982 0.4185 0.5781
O12 0.9062 0.4016 0.0784

Copy entry 3 word for word.
# PBE AcPdO6, relaxed
# Raw formation energy, eV per atom: -0.68
# Symmetry: R-3m (166)
# D(E_F), states/eV per cell: 4.6
data_AcPdO6
_chemical_formula_sum 'Ac1 Pd1 O6'
_symmetry_space_group_name_H-M 'P 1'
_symmetry_Int_Tables_number 1
_symmetry_space_group_name_Hall 'P 1'
_cell_length_a 4.7927
_cell_length_b 4.7927
_cell_length_c 4.7927
_cell_angle_alpha 97.06
_cell_angle_beta 97.06
_cell_angle_gamma 97.06
loop_
_atom_site_label
_atom_site_fract_x
_atom_site_fract_y
_atom_site_fract_z
Ac1 0.0000 0.0000 0.0000
Pd1 0.5000 0.5000 0.5000
O1 0.2053 0.2053 0.5708
O2 0.2053 0.5708 0.2053
O3 0.4292 0.7947 0.7947
O4 0.5708 0.2053 0.2053
O5 0.7947 0.4292 0.7947
O6 0.7947 0.7947 0.4292

raw formation energy of number 3 (AcPdO6)?
-0.68 eV per atom

Please write out number 4 again, unchanged.
# PBE Ac5Pd2O12, relaxed
# Raw formation energy, eV per atom: -2.38
# Symmetry: C2/m (12)
# D(E_F), states/eV per cell: 13.9
data_Ac5Pd2O12
_chemical_formula_sum 'Ac5 Pd2 O12'
_symmetry_space_group_name_H-M 'P 1'
_symmetry_Int_Tables_number 1
_symmetry_space_group_name_Hall 'P 1'
_cell_length_a 7.4021
_cell_length_b 7.4021
_cell_length_c 7.9919
_cell_angle_alpha 105.42
_cell_angle_beta 105.42
_cell_angle_gamma 50.35
loop_
_atom_site_label
_atom_site_fract_x
_atom_site_fract_y
_atom_site_fract_z
Ac1 0.0000 0.0000 0.0000
Ac2 0.3055 0.3055 0.6613
Ac3 0.3097 0.3097 0.1458
Ac4 0.6903 0.6903 0.8542
Ac5 0.6945 0.6945 0.3387
Pd1 0.2452 0.7548 0.5000
Pd2 0.7548 0.2452 0.5000
O1 0.0000 0.0000 0.3347
O2 0.0000 0.0000 0.6653
O3 0.0938 0.5984 0.9216
O4 0.1018 0.5815 0.4219
O5 0.4016 0.9062 0.0784
O6 0.4185 0.8982 0.5781
O7 0.4986 0.4986 0.6649
O8 0.5014 0.5014 0.3351
O9 0.5815 0.1018 0.4219
O10 0.5984 0.0938 0.9216
O11 0.8982 0.4185 0.5781
O12 0.9062 0.4016 0.0784

Which of these has the highest D(E_F)?
Ac5Pd2O12